Record 1
Material: TbFe3
Method: DFT, meta-GGA SCAN
State: single point on PBEsol structure

```
TbFe3
1.0
4.9651 0.0000 0.0000
2.4825 4.2999 0.0000
2.4825 1.4333 7.9460
Tb Fe
3 9
direct
0.0000 0.0000 0.0000
0.1420 0.1420 0.5739
0.8580 0.8580 0.4261
0.4190 0.9188 0.2431
0.5810 0.0812 0.7569
0.9188 0.4190 0.2431
0.0812 0.5810 0.7569
0.3327 0.3327 0.0019
0.4190 0.4190 0.2431
0.5810 0.5810 0.7569
0.6673 0.6673 0.9981
0.5000 0.5000 0.5000
```

Output
Energy relative to the elements ... -10 meV per atom

---

Record 2
Material: Li2MgRh
Method: DFT, meta-GGA SCAN
State: single point on PBEsol structure

```
Li2MgRh
1.0
-0.9170 0.9029 -2.5206
2.2642 -2.8201 -1.8340
-3.6807 -3.8196 1.3290
Mg Li Rh
1 2 1
direct
0.0175 0.0000 0.5411
0.9647 0.0000 0.9922
0.4531 0.5000 0.2251
0.5647 0.5000 0.7415
```

Output
Energy relative to the elements ... -183 meV per atom

---

Record 3
Material: CaPb7
Method: DFT, meta-GGA SCAN
State: single point on PBEsol structure

```
CaPb7
1.0
6.9122 0.0000 0.0000
3.4561 5.9861 0.0000
3.4561 1.9954 5.6438
Pb Ca
7 1
direct
0.5000 0.0000 0.0000
0.0000 0.5000 0.0000
0.5000 0.5000 0.0000
0.5000 0.0000 0.5000
0.0000 0.0000 0.5000
0.5000 0.5000 0.5000
0.0000 0.5000 0.5000
0.0000 0.0000 0.0000
```

Output
Energy relative to the elements ... -204 meV per atom

---

Record 4
Material: KAs2Ru
Method: DFT, meta-GGA SCAN
State: single point on PBEsol structure

```
KAs2Ru
1.0
3.0552 0.0000 0.0000
0.0000 3.4428 0.0000
0.0000 0.0000 7.7820
As Ru K
2 1 1
direct
0.5000 0.0000 0.1979
0.0000 0.0000 0.8372
0.5000 0.5000 0.9721
0.0000 0.5000 0.4928
```

Output
Energy relative to the elements ... -189 meV per atom
Energy above the most stable polymorph in this dataset ... 0.0 meV per atom

---

Record 5
Material: Zr2Tc
Method: DFT, meta-GGA SCAN
State: single point on PBEsol structure

```
Zr2Tc
1.0
-0.6525 -0.1068 -3.2062
-1.1003 -3.0659 0.3261
-3.9253 3.4071 2.3567
Zr Tc
2 1
direct
0.8504 0.8504 0.7009
0.1496 0.1496 0.2991
0.5000 0.5000 0.0000
```

Output
Energy relative to the elements ... -323 meV per atom
Energy above the most stable polymorph in this dataset ... 23.9 meV per atom

---

Record 6
Material: In2Hg
Method: DFT, meta-GGA SCAN
State: single point on PBEsol structure

```
In2Hg
1.0
3.3443 0.0000 0.0000
-1.6721 5.8525 -0.2341
0.0000 -2.2829 7.6044
Hg In
2 4
direct
0.6803 0.3607 0.3505
0.0030 0.0060 0.0225
0.3467 0.6933 0.6883
0.3808 0.7617 0.2563
0.7024 0.4049 0.9312
0.0534 0.1068 0.5845
```

Output
Energy relative to the elements ... 57 meV per atom
Energy above the most stable polymorph in this dataset ... 59.9 meV per atom

---

Record 7
Material: BaSr3La
Method: DFT, meta-GGA SCAN
State: single point on PBEsol structure

```
BaSr3La
1.0
6.1917 0.0000 0.0000
0.0000 6.1917 0.0000
0.0000 0.0000 6.1917
Sr La Ba
3 1 1
direct
0.0000 0.5000 0.0000
0.5000 0.0000 0.0000
0.0000 0.0000 0.5000
0.5000 0.5000 0.5000
0.0000 0.0000 0.0000
```

Output
Energy relative to the elements ... 716 meV per atom

---

Record 8
Material: HfTiB4
Method: DFT, meta-GGA SCAN
State: single point on PBEsol structure

```
HfTiB4
1.0
-0.8597 2.0467 2.1323
0.5169 -2.9279 0.7970
6.3615 1.4440 1.1789
B Ti Hf
4 1 1
direct
0.3333 0.6667 0.2625
0.6667 0.3333 0.7375
0.6667 0.3333 0.2625
0.3333 0.6667 0.7375
0.0000 0.0000 0.5000
0.0000 0.0000 0.0000
```

Output
Energy relative to the elements ... -1080 meV per atom

---

Record 9
Material: Mo3HPb
Method: DFT, meta-GGA SCAN
State: single point on PBEsol structure

```
Mo3HPb
1.0
4.1034 0.0000 0.0000
0.0000 4.1034 0.0000
0.0000 0.0000 4.1034
Pb Mo H
1 3 1
direct
0.5000 0.5000 0.5000
0.5000 0.0000 0.0000
0.0000 0.5000 0.0000
0.0000 0.0000 0.5000
0.0000 0.0000 0.0000
```

---

Record 10
Material: Hf2Al3Au
Method: DFT, meta-GGA SCAN
State: single point on PBEsol structure

```
Hf2Al3Au
1.0
5.2090 -0.0087 -0.0062
2.5468 4.5440 -0.0062
2.5468 1.4893 4.2930
Au Al Hf
1 3 2
direct
0.0000 0.0000 0.0000
0.0000 0.5000 0.0000
0.5000 0.0000 0.0000
0.0000 0.0000 0.5000
0.6236 0.6236 0.6236
0.3764 0.3764 0.3764
```

Output
Energy relative to the elements ... -671 meV per atom

---

Record 11
Material: TeRu2
Method: DFT, meta-GGA SCAN
State: single point on PBEsol structure

```
TeRu2
1.0
-2.9319 1.5288 -1.6905
1.3925 -0.9791 -3.3005
-3.0289 -7.0945 2.9160
Ru Te
4 2
direct
0.8276 0.3276 0.6553
0.6724 0.1724 0.3447
0.4224 0.4224 0.8447
0.5776 0.5776 0.1553
0.0000 0.0000 0.0000
0.2500 0.7500 0.5000
```

Output
Raw formation energy ... 0.656 eV/atom
Energy above the most stable polymorph in this dataset ... 344.9 meV per atom

---

Record 12
Material: InCuSe2
Method: DFT, meta-GGA SCAN
State: single point on PBEsol structure

```
InCuSe2
1.0
3.9224 0.0000 0.0000
-1.9612 3.3969 0.0000
0.0000 0.0000 6.5521
Se In Cu
2 1 1
direct
0.6667 0.3333 0.2527
0.3333 0.6667 0.7519
0.0000 0.0000 0.4717
0.6667 0.3333 0.8976
```

Output
Raw formation energy ... -0.372 eV/atom

---

Number 1: DFT total energy -25.297 eV/atom. Number 2: DFT total energy -11.064 eV/atom. Number 3: DFT total energy -67.721 eV/atom. Number 4: DFT total energy -21.073 eV/atom. Number 5: DFT total energy -32.476 eV/atom. Number 6: DFT total energy -44.923 eV/atom. Number 7: DFT total energy -29.180 eV/atom. Number 8: DFT total energy -19.150 eV/atom. Number 9: DFT total energy -36.281 eV/atom. Number 10: DFT total energy -36.964 eV/atom. Number 11: DFT total energy -34.979 eV/atom. Number 12: DFT total energy -22.557 eV/atom.